<a>
This record from Alexandria describes ZnTc2 after structural relaxation. The functional is PBE.

Unit cell a=4.2109 b=12.6683 c=3.1989 alpha=90.00 beta=90.00 gamma=90.00
Closest atoms and distances in Å follow each position.
Space group Cmcm (No. 63)
Inequivalent atoms, fractional coordinates:
Zn1 0.0000 0.0770 0.2500  2 Zn 2.52, 6 Tc 2.65
Tc1 0.0000 0.2440 0.7500  8 Tc 2.65-2.91, 2 Zn 2.65
Tc2 0.0000 0.4146 0.2500  6 Zn 2.65-2.94, 6 Tc 2.69-2.91

Results
Total magnetic moment: 0.0 μB per cell

<b>
This record from Alexandria describes ZnTc2 after structural relaxation. The functional is PBE.

Unit cell a=4.3154 b=4.3154 c=2.7830 alpha=90.00 beta=90.00 gamma=120.00
Closest atoms and distances in Å follow each position.
Space group P6/mmm (No. 191)
Inequivalent atoms, fractional coordinates:
Zn1 0.0000 0.0000 0.0000  2 Zn 2.78, 12 Tc 2.85
Tc1 0.3333 0.6667 0.5000  5 Tc 2.49-2.78

Results
Total magnetic moment: 0.0 μB per cell

Preferred: <a>; penalty for the next structure: 168 meV per atom.

<a>
This record from Alexandria describes ZnTc2 after structural relaxation. The functional is PBE.

Unit cell a=4.3780 b=4.3780 c=5.5224 alpha=90.00 beta=90.00 gamma=120.00
Closest atoms and distances in Å follow each position.
Space group P6_3/mmc (No. 194)
Inequivalent atoms, fractional coordinates:
Zn1 0.0000 0.0000 0.2500  2 Zn 2.76, 12 Tc 2.79-2.98
Tc1 0.3333 0.6667 0.0357  4 Tc 2.37-2.56

Results
Total magnetic moment: 0.0 μB per cell

<b>
This record from Alexandria describes ZnTc2 after structural relaxation. The functional is PBE.

Unit cell a=5.4194 b=3.9284 c=8.2634 alpha=90.00 beta=90.00 gamma=90.00
Closest atoms and distances in Å follow each position.
Space group Pnma (No. 62)
Inequivalent atoms, fractional coordinates:
Zn1 0.1167 0.2500 0.0767  2 Zn 2.66, 10 Tc 2.71-2.91
Tc1 0.0996 0.2500 0.7252  5 Tc 2.54-2.74, 4 Zn 2.78-2.81
Tc2 0.1168 0.2500 0.4080  5 Tc 2.54-2.79, 5 Zn 2.71-2.81

Results
Total magnetic moment: 0.0 μB per cell

<c>
This record from Alexandria describes ZnTc2 after structural relaxation. The functional is PBE.

Unit cell a=4.3959 b=4.3959 c=5.1523 alpha=90.00 beta=90.00 gamma=120.00
Closest atoms and distances in Å follow each position.
Space group P6_3/mmc (No. 194)
Inequivalent atoms, fractional coordinates:
Zn1 0.3333 0.6667 0.2500  5 Tc 2.54-2.58
Tc1 0.0000 0.0000 0.0000  8 Tc 2.58-2.85, 6 Zn 2.85
Tc2 0.3333 0.6667 0.7500  5 Zn 2.54-2.58

Results
Total magnetic moment: 0.4 μB per cell

Preferred: <b>; penalty for the next structure: 8 meV per atom.

<a>
This record from Alexandria describes ZnTc2 after structural relaxation. The functional is PBE.

Unit cell a=4.4290 b=4.4290 c=2.5526 alpha=90.00 beta=90.00 gamma=90.00
Closest atoms and distances in Å follow each position.
Space group P4/mmm (No. 123)
Inequivalent atoms, fractional coordinates:
Zn1 0.0000 0.0000 0.0000  2 Zn 2.55, 8 Tc 2.56
Tc1 0.0000 0.5000 0.5000  2 Tc 2.55, 4 Zn 2.56

Results
Total magnetic moment: 0.0 μB per cell

<b>
This record from Alexandria describes ZnTc2 after structural relaxation. The functional is PBE.

Unit cell a=2.7237 b=2.7237 c=24.2086 alpha=90.00 beta=90.00 gamma=90.00
Closest atoms and distances in Å follow each position.
Space group I4_1/amd (No. 141, origin choice 2)
Inequivalent atoms, fractional coordinates:
Zn1 0.0000 0.2500 0.3750  4 Zn 2.72, 8 Tc 2.77
Tc1 0.0000 0.2500 0.7929  6 Tc 2.49-2.72, 4 Zn 2.77

Results
Total magnetic moment: 0.0 μB per cell

Preferred: <b>; penalty for the next structure: 729 meV per atom.

<a>
This record from Alexandria describes ZnTc2 after structural relaxation. The functional is PBE.

Unit cell a=7.2407 b=7.2407 c=7.2407 alpha=90.00 beta=90.00 gamma=90.00
Closest atoms and distances in Å follow each position.
Space group Fd-3m (No. 227, origin choice 2)
Inequivalent atoms, fractional coordinates:
Zn1 0.1250 0.1250 0.1250  12 Tc 3.00, 4 Zn 3.14
Tc1 0.0000 0.0000 0.5000  6 Tc 2.56

Results
Total magnetic moment: 0.0 μB per cell

<b>
This record from Alexandria describes ZnTc2 after structural relaxation. The functional is PBE.

Unit cell a=3.8726 b=3.8726 c=22.9614 alpha=90.00 beta=90.00 gamma=90.00
Closest atoms and distances in Å follow each position.
Space group I4_1/amd (No. 141, origin choice 2)
Inequivalent atoms, fractional coordinates:
Zn1 0.0000 0.2500 0.2927  10 Tc 2.65-2.76, 2 Zn 2.76
Tc1 0.0000 0.2500 0.1285  4 Zn 2.65-2.76, 8 Tc 2.67-2.78
Tc2 0.0000 0.2500 0.7915  6 Tc 2.67-2.78, 6 Zn 2.74

Results
Total magnetic moment: 0.0 μB per cell

Preferred: <b>; penalty for the next structure: 248 meV per atom.